DFT (PBE-GGA) results for a geometry-optimized Nd2GaCu4Si3 structure.

Cell lengths 4.0995, 4.0995, 10.0671 Å; angles 90.00, 90.00, 90.00 degrees
Fractional coordinates of all 10 atoms:
Si1 0.5000 0.0000 0.8720
Cu1 0.5000 0.0000 0.6358
Cu2 0.0000 0.0000 0.0000
Si2 0.0000 0.0000 0.5000
Nd1 0.0000 0.5000 0.7556
Nd2 0.5000 0.0000 0.2444
Cu3 0.0000 0.5000 0.3642
Ga1 0.5000 0.5000 0.5000
Si3 0.0000 0.5000 0.1280
Cu4 0.5000 0.5000 0.0000

The volume comes out at 169.19 Å³/f.u. Its density is 6838 kg/m³. The value obtained for the density of states at the Fermi level is 4.625 states/eV/cell. The symmetry is P-4m2 (115). The formation energy (no corrections) is -0.5359 eV per atom.



DFT (PBE-GGA) results for a geometry-optimized Nd2SmGa2Cu2 structure.

Cell lengths 4.4389, 4.4389, 9.7914 Å; angles 76.90, 76.90, 60.00 degrees
Fractional coordinates of all 7 atoms:
Ga1 0.2666 0.2666 0.2003
Nd1 0.8762 0.8762 0.3715
Sm1 0.0000 0.0000 0.0000
Cu1 0.6045 0.6045 0.1864
Cu2 0.3955 0.3955 0.8136
Ga2 0.7334 0.7334 0.7997
Nd2 0.1238 0.1238 0.6285

The volume comes out at 161.26 Å³/f.u. Its density is 7264 kg/m³. The value obtained for the density of states at the Fermi level is 6.078 states/eV/cell. The symmetry is R-3m (166). The formation energy from the elements comes out at -0.377 eV per atom.



DFT (PBE-GGA) results for a geometry-optimized NdSm2Ga2Cu2 structure.

Cell lengths 4.4489, 4.4489, 9.7142 Å; angles 76.76, 76.76, 60.00 degrees
Fractional coordinates of all 7 atoms:
Cu1 0.4000 0.4000 0.7999
Cu2 0.6000 0.6000 0.2001
Nd1 0.0000 0.0000 0.0000
Sm1 0.1245 0.1245 0.6265
Ga1 0.7372 0.7372 0.7884
Sm2 0.8755 0.8755 0.3735
Ga2 0.2628 0.2628 0.2116

The volume comes out at 160.58 Å³/f.u. Its density is 7357 kg/m³. The value obtained for the density of states at the Fermi level is 5.748 states/eV/cell. The symmetry is R-3m (166). The formation energy from the elements comes out at -0.376 eV per atom.



DFT (PBE-GGA) results for a geometry-optimized Nd2Ga3Cu4Sn structure.

Cell lengths 4.2914, 4.2914, 10.2446 Å; angles 90.00, 90.00, 90.00 degrees
Fractional coordinates of all 10 atoms:
Sn1 0.5000 0.5000 0.5000
Cu1 0.0000 0.0000 0.0000
Nd1 0.0000 0.5000 0.7644
Cu2 0.5000 0.5000 0.0000
Ga1 0.0000 0.0000 0.5000
Cu3 0.5000 0.0000 0.6435
Ga2 0.5000 0.0000 0.8782
Ga3 0.0000 0.5000 0.1218
Nd2 0.5000 0.0000 0.2356
Cu4 0.0000 0.5000 0.3565

The volume comes out at 188.67 Å³/f.u. Its density is 7662 kg/m³. The value obtained for the density of states at the Fermi level is 6.507 states/eV/cell. The symmetry is P-4m2 (115). The formation energy from the elements comes out at -0.426 eV per atom.